# 1
A relaxed BAsNF2 crystal. Source: Alexandria via LeMat-Bulk, functional PBE.

Structure (CIF):
```
data_BAsNF2
_chemical_formula_sum 'B1 As1 N1 F2'
_space_group_name_H-M_alt 'P 4/m m m'
_space_group_IT_number 123
_space_group_name_Hall '-P 4 2'
_cell_length_a 4.521
_cell_length_b 4.521
_cell_length_c 2.670
_cell_angle_alpha 90.00
_cell_angle_beta 90.00
_cell_angle_gamma 90.00
loop_
_atom_site_label
_atom_site_type_symbol
_atom_site_fract_x
_atom_site_fract_y
_atom_site_fract_z
B1 B 0.000 0.000 0.000
As1 As 0.500 0.500 0.500
N1 N 0.000 0.000 0.500
F1 F 0.000 0.500 0.000
```

=====

# 2
A relaxed BAsOF2 crystal. Source: Alexandria via LeMat-Bulk, functional PBE.

Structure (CIF):
```
data_BAsOF2
_chemical_formula_sum 'B1 As1 O1 F2'
_space_group_name_H-M_alt 'P 4/m m m'
_space_group_IT_number 123
_space_group_name_Hall '-P 4 2'
_cell_length_a 4.243
_cell_length_b 4.243
_cell_length_c 3.919
_cell_angle_alpha 90.00
_cell_angle_beta 90.00
_cell_angle_gamma 90.00
loop_
_atom_site_label
_atom_site_type_symbol
_atom_site_fract_x
_atom_site_fract_y
_atom_site_fract_z
B1 B 0.000 0.000 0.000
As1 As 0.500 0.500 0.500
O1 O 0.500 0.500 0.000
F1 F 0.000 0.500 0.500
```

=====

# 3
A relaxed BAsOF2 crystal. Source: Alexandria via LeMat-Bulk, functional PBE.

Structure (CIF):
```
data_BAsOF2
_chemical_formula_sum 'B1 As1 O1 F2'
_space_group_name_H-M_alt 'P 4/m m m'
_space_group_IT_number 123
_space_group_name_Hall '-P 4 2'
_cell_length_a 4.650
_cell_length_b 4.650
_cell_length_c 2.602
_cell_angle_alpha 90.00
_cell_angle_beta 90.00
_cell_angle_gamma 90.00
loop_
_atom_site_label
_atom_site_type_symbol
_atom_site_fract_x
_atom_site_fract_y
_atom_site_fract_z
B1 B 0.000 0.000 0.000
As1 As 0.500 0.500 0.500
O1 O 0.000 0.000 0.500
F1 F 0.000 0.500 0.000
```

=====

# 4
A relaxed BAs2OF crystal. Source: Alexandria via LeMat-Bulk, functional PBE.

Structure (CIF):
```
data_BAs2OF
_chemical_formula_sum 'B1 As2 O1 F1'
_space_group_name_H-M_alt 'P 4/m m m'
_space_group_IT_number 123
_space_group_name_Hall '-P 4 2'
_cell_length_a 4.431
_cell_length_b 4.431
_cell_length_c 3.235
_cell_angle_alpha 90.00
_cell_angle_beta 90.00
_cell_angle_gamma 90.00
loop_
_atom_site_label
_atom_site_type_symbol
_atom_site_fract_x
_atom_site_fract_y
_atom_site_fract_z
B1 B 0.000 0.000 0.000
As1 As 0.000 0.500 0.000
O1 O 0.500 0.500 0.500
F1 F 0.000 0.000 0.500
```

=====

# 5
A relaxed B2AsPdF crystal. Source: Alexandria via LeMat-Bulk, functional PBE.

Structure (CIF):
```
data_B2AsPdF
_chemical_formula_sum 'B2 As1 Pd1 F1'
_space_group_name_H-M_alt 'P 4/m m m'
_space_group_IT_number 123
_space_group_name_Hall '-P 4 2'
_cell_length_a 3.962
_cell_length_b 3.962
_cell_length_c 4.260
_cell_angle_alpha 90.00
_cell_angle_beta 90.00
_cell_angle_gamma 90.00
loop_
_atom_site_label
_atom_site_type_symbol
_atom_site_fract_x
_atom_site_fract_y
_atom_site_fract_z
B1 B 0.000 0.500 0.000
As1 As 0.000 0.000 0.500
Pd1 Pd 0.500 0.500 0.500
F1 F 0.000 0.000 0.000
```

=====

# 6
A relaxed Rb2BAsF6 crystal. Source: Alexandria via LeMat-Bulk, functional PBE.

Structure (CIF):
```
data_Rb2BAsF6
_chemical_formula_sum 'Rb8 B4 As4 F24'
_space_group_name_H-M_alt 'F m -3 m'
_space_group_IT_number 225
_space_group_name_Hall '-F 4 2 3'
_cell_length_a 8.737
_cell_length_b 8.737
_cell_length_c 8.737
_cell_angle_alpha 90.00
_cell_angle_beta 90.00
_cell_angle_gamma 90.00
loop_
_atom_site_label
_atom_site_type_symbol
_atom_site_fract_x
_atom_site_fract_y
_atom_site_fract_z
Rb1 Rb 0.250 0.250 0.250
B1 B 0.000 0.000 0.000
As1 As 0.000 0.000 0.500
F1 F 0.000 0.000 0.263
```

=====

# 7
A relaxed Rb2BAsF crystal. Source: Alexandria via LeMat-Bulk, functional PBE.

Structure (CIF):
```
data_Rb2BAsF
_chemical_formula_sum 'Rb2 B1 As1 F1'
_space_group_name_H-M_alt 'P 4/m m m'
_space_group_IT_number 123
_space_group_name_Hall '-P 4 2'
_cell_length_a 5.847
_cell_length_b 5.847
_cell_length_c 4.020
_cell_angle_alpha 90.00
_cell_angle_beta 90.00
_cell_angle_gamma 90.00
loop_
_atom_site_label
_atom_site_type_symbol
_atom_site_fract_x
_atom_site_fract_y
_atom_site_fract_z
Rb1 Rb 0.000 0.500 0.000
B1 B 0.000 0.000 0.500
As1 As 0.500 0.500 0.500
F1 F 0.000 0.000 0.000
```

=====

# 8
A relaxed BAsSe2F crystal. Source: Alexandria via LeMat-Bulk, functional PBE.

Structure (CIF):
```
data_BAsSe2F
_chemical_formula_sum 'B1 As1 Se2 F1'
_space_group_name_H-M_alt 'P 4/m m m'
_space_group_IT_number 123
_space_group_name_Hall '-P 4 2'
_cell_length_a 4.405
_cell_length_b 4.405
_cell_length_c 4.396
_cell_angle_alpha 90.00
_cell_angle_beta 90.00
_cell_angle_gamma 90.00
loop_
_atom_site_label
_atom_site_type_symbol
_atom_site_fract_x
_atom_site_fract_y
_atom_site_fract_z
B1 B 0.000 0.000 0.000
As1 As 0.000 0.000 0.500
Se1 Se 0.000 0.500 0.000
F1 F 0.500 0.500 0.500
```

=====

| no. | uncorrected formation energy (meV per atom) |
| --- | --- |
| 1 | -528 |
| 2 | -218 |
| 3 | -1045 |
| 4 | 271 |
| 5 | 1304 |
| 6 | -1819 |
| 7 | 50 |
| 8 | 471 |